Record 1
This record from the Alexandria database describes a geometry-optimized RbSi3O structure. The functional is PBE.

Cell and atoms, written as POSCAR:
```
RbSi3O
1.0
4.599 0.000 0.000
0.000 4.599 0.000
0.000 0.000 4.599
Si O Rb
3 1 1
Cartesian
0.000 2.300 0.000 Si
0.000 0.000 2.300 Si
2.300 0.000 0.000 Si
0.000 0.000 0.000 O
2.300 2.300 2.300 Rb
```

Calculated values
formation energy from raw total energies	0.571	eV/atom
crystal system	cubic
relative energy among the computed polymorphs	0.00	eV per formula unit
Fermi-level density of states	0.448	states/eV per atom
space-group type	No. 221

=====

Record 2
This record from the Alexandria database describes a geometry-optimized K2In3Cl8 structure. The functional is PBE.

Cell and atoms, written as POSCAR:
```
K2In3Cl8
1.0
-4.513 1.538 5.546
3.147 -6.870 -0.356
6.358 3.245 4.274
K In Cl
2 3 8
Cartesian
1.938 0.295 6.318 K
3.054 -2.382 3.146 K
3.179 1.622 2.137 In
-0.971 0.331 1.193 In
-3.542 1.207 4.353 In
1.001 -4.441 2.047 Cl
3.991 2.354 7.418 Cl
0.277 -2.517 5.746 Cl
4.715 0.430 3.718 Cl
-1.131 1.176 6.045 Cl
1.180 0.388 3.206 Cl
3.813 -2.475 6.259 Cl
6.124 -3.262 3.419 Cl
```

Calculated values
formation energy from raw total energies	-1.287	eV/atom
crystal system	monoclinic
Fermi-level density of states	0.177	states/eV per atom
space-group type	No. 12

=====

Record 3
This record from the Alexandria database describes a geometry-optimized Zn4Ag4Au structure. The functional is PBE.

Cell and atoms, written as POSCAR:
```
Zn4Ag4Au
1.0
-1.873 -1.085 -2.866
-5.420 -3.012 2.434
-4.075 5.051 -1.500
Zn Ag Au
4 4 1
Cartesian
-1.206 -0.675 -0.081 Zn
-10.162 1.629 -1.851 Zn
-5.638 -0.715 -1.670 Zn
-5.730 1.668 -0.262 Zn
-3.211 0.572 -1.493 Ag
-8.157 0.382 -0.438 Ag
-6.124 -1.035 1.019 Ag
-5.245 1.989 -2.951 Ag
-3.647 -2.049 -0.216 Au
```

Calculated values
DFT formation energy	-0.070	eV per atom
crystal system	tetragonal
relative energy among the computed polymorphs	0.00	eV per formula unit
Fermi-level density of states	0.194	states/eV per atom
space-group type	No. 139

=====

Which of these has the highest Fermi-level density of states?
RbSi3O